Below is a relaxed Cs2Ni2PtSe4 crystal, with properties calculated at the GGA-PBE level.

As for the magnetic moment: 0.0 Bohr magnetons per cell. The crystal system is orthorhombic. As for the total energy: -155.7 eV/cell.

The space group is Fmmm (No. 69) and the conventional cell measures 6.2583, 11.0933 and 14.6538 Å, with angles of 90.00, 90.00 and 90.00 degrees. The asymmetric unit holds Cs at (0.0000, 0.0000, 0.1543), Ni at (0.2500, 0.2500, 0.0000), Pt at (0.0000, 0.0000, 0.5000) and Se at (0.0000, 0.1753, 0.3946).